No. 1
A relaxed YTcP crystal. Source: the Alexandria database, functional PBE-GGA.

a b c (Å): 6.4261 6.4261 6.4261
angles (deg): 90.00 90.00 90.00
Positions (direct):
Y: 0.0000 0.0000 0.0000
Y: 0.0000 0.5000 0.5000
Y: 0.5000 0.0000 0.5000
Y: 0.5000 0.5000 0.0000
Tc: 0.2500 0.2500 0.2500
Tc: 0.2500 0.7500 0.7500
Tc: 0.7500 0.2500 0.7500
Tc: 0.7500 0.7500 0.2500
P: 0.2500 0.2500 0.7500
P: 0.2500 0.7500 0.2500
P: 0.7500 0.2500 0.2500
P: 0.7500 0.7500 0.7500

Properties
Space-group type: No. 216
Crystal system: cubic
N(E_F): 21.57 states/eV per cell
Magnetization: 0.0 μB per formula unit
Energy of formation: 718.7 meV/atom
Offset from the most stable computed form: 1382 meV per atom



No. 2
A relaxed LaOsPb2 crystal. Source: the Alexandria database, functional PBE-GGA.

a b c (Å): 3.8592 5.2575 10.3915
angles (deg): 90.00 90.00 90.00
Positions (direct):
La: 0.0000 0.0000 0.0000
La: 0.5000 0.5000 0.5000
Os: 0.0000 0.5000 0.6969
Os: 0.5000 0.0000 0.1969
Pb: 0.0000 0.0000 0.3948
Pb: 0.0000 0.5000 0.1987
Pb: 0.5000 0.0000 0.6987
Pb: 0.5000 0.5000 0.8948

Properties
Space-group type: No. 44
Crystal system: orthorhombic
N(E_F): 6.17 states/eV per cell
Magnetization: 0.0 μB per formula unit
Energy of formation: 266.5 meV/atom
Offset from the most stable computed form: 193 meV per atom



No. 3
A relaxed Co2P2N crystal. Source: the Alexandria database, functional PBE-GGA.

a b c (Å): 7.1619 2.6823 6.3669
angles (deg): 90.00 118.72 90.00
Positions (direct):
Co: 0.0000 0.0000 0.0000
Co: 0.2455 0.5000 0.3950
Co: 0.5000 0.5000 0.0000
Co: 0.7455 0.0000 0.3950
P: 0.0649 0.0000 0.6990
P: 0.3593 0.0000 0.1936
P: 0.5649 0.5000 0.6990
P: 0.8593 0.5000 0.1936
N: 0.2158 0.5000 0.6994
N: 0.7158 0.0000 0.6994

Properties
Space-group type: No. 8
Crystal system: monoclinic
N(E_F): 5.86 states/eV per cell
Magnetization: 0.0 μB per formula unit
Offset from the most stable computed form: 94 meV per atom